Version P
First-principles (GGA-PBE) data for a relaxed MgHgAs crystal, as listed in Alexandria.

Lattice parameters (Å, degrees): 4.626 4.626 4.626 60.00 60.00 60.00
Sites, in units of the cell vectors:
As: 0.000 0.000 0.000
Hg: 0.500 0.500 0.500
Mg: 0.250 0.250 0.250

Properties
ρ in g cm⁻³: 7.11
Calculated volume in Å³ per cell: 70

=====

Version Q
First-principles (GGA-PBE) data for a relaxed MgHgAs crystal, as listed in Alexandria.

Lattice parameters (Å, degrees): 3.566 3.566 6.097 90.00 90.00 120.00
Sites, in units of the cell vectors:
As: 0.000 0.000 0.983
Hg: 0.667 0.333 0.334
Mg: 0.333 0.667 0.683

Properties
ρ in g cm⁻³: 7.42
Calculated volume in Å³ per cell: 67

=====

Energetically preferred structure: version P | next structure: +0.033 eV/atom

=====

Version P
First-principles (GGA-PBE) data for a relaxed Mg3HgAs crystal, as listed in Alexandria.

Lattice parameters (Å, degrees): 5.051 5.051 5.051 90.00 90.00 90.00
Sites, in units of the cell vectors:
Mg: 0.000 0.500 0.000
Mg: 0.000 0.000 0.500
Mg: 0.500 0.000 0.000
As: 0.000 0.000 0.000
Hg: 0.500 0.500 0.500

Properties
ρ in g cm⁻³: 4.49
Calculated volume in Å³ per cell: 129

=====

Version Q
First-principles (GGA-PBE) data for a relaxed Mg3HgAs crystal, as listed in Alexandria.

Lattice parameters (Å, degrees): 5.142 5.142 5.142 90.00 90.00 90.00
Sites, in units of the cell vectors:
Mg: 0.000 0.500 0.000
Mg: 0.000 0.000 0.500
Mg: 0.500 0.000 0.000
As: 0.500 0.500 0.500
Hg: 0.000 0.000 0.000

Properties
ρ in g cm⁻³: 4.26
Calculated volume in Å³ per cell: 136

=====

Energetically preferred structure: version P | next structure: +0.328 eV/atom